# 1
Entry from Alexandria: crystalline LaPmNd3Th at its relaxed geometry (PBE).

Results
* density: 7.514 g/cm³
* SG: P2_1/m
* ΔH_f (0 K): 0.031 eV/atom

a b c (Å): 8.215 5.183 10.367
angles (deg): 90.00 108.22 90.00
Atoms (fractional coordinates):
La (0.180, 0.250, 0.296)
La (0.820, 0.750, 0.704)
Pm (0.498, 0.750, 0.869)
Pm (0.502, 0.250, 0.131)
Nd (0.173, 0.250, 0.792)
Nd (0.173, 0.750, 0.045)
Nd (0.180, 0.750, 0.544)
Nd (0.820, 0.250, 0.456)
Nd (0.827, 0.250, 0.955)
Nd (0.827, 0.750, 0.208)
Th (0.500, 0.250, 0.620)
Th (0.500, 0.750, 0.380)

=====

# 2
Entry from Alexandria: crystalline TlTe2Pb at its relaxed geometry (PBE).

Results
* raw formation energy: -0.197 eV/atom
* density: 7.950 g/cm³
* SG: Imm2

a b c (Å): 8.317 8.317 8.317
angles (deg): 150.62 150.35 42.23
Atoms (fractional coordinates):
Tl (0.000, 0.000, 0.000)
Te (0.587, 0.587, 0.000)
Te (0.832, 0.332, 0.500)
Pb (0.247, 0.747, 0.500)

=====

Please write out number 2 again, unchanged.
Entry from Alexandria: crystalline TlTe2Pb at its relaxed geometry (PBE).

Results
* raw formation energy: -0.197 eV/atom
* density: 7.950 g/cm³
* SG: Imm2

a b c (Å): 8.317 8.317 8.317
angles (deg): 150.62 150.35 42.23
Atoms (fractional coordinates):
Tl (0.000, 0.000, 0.000)
Te (0.587, 0.587, 0.000)
Te (0.832, 0.332, 0.500)
Pb (0.247, 0.747, 0.500)

=====

> Look up the density of the second one.

7.950 g/cm³